Entry 1:
Computed, not measured: an optimized crystal structure of Sr2InRhN at the PBE-GGA level of DFT.

Cell: 5.5351 5.5351 3.8724 Å, 90.00 90.00 90.00°
Element x y z (fractional)
1 Sr 0.0000 0.5000 0.0000
2 Sr 0.5000 0.0000 0.0000
3 N 0.0000 0.0000 0.0000
4 Rh 0.0000 0.0000 0.5000
5 In 0.5000 0.5000 0.5000

Output
* density: 5696 kg/m3
* spin magnetization: 0.00 μB per formula unit
* crystal system: tetragonal
* uncorrected formation energy: -0.4412 eV per atom
* total DFT energy (no corrections): -24.0 eV for the cell shown


Entry 2:
Computed, not measured: an optimized crystal structure of SrInRh2N at the PBE-GGA level of DFT.

Cell: 4.2554 4.2554 4.9229 Å, 90.00 90.00 90.00°
Element x y z (fractional)
1 Sr 0.0000 0.0000 0.5000
2 N 0.0000 0.0000 0.0000
3 Rh 0.0000 0.5000 0.0000
4 Rh 0.5000 0.0000 0.0000
5 In 0.5000 0.5000 0.5000

Output
* density: 7865 kg/m3
* spin magnetization: 0.56 μB per formula unit
* crystal system: tetragonal
* uncorrected formation energy: 0.0827 eV per atom
* total DFT energy (no corrections): -27.0 eV for the cell shown


Entry 3:
Computed, not measured: an optimized crystal structure of TaInRhN2 at the PBE-GGA level of DFT.

Cell: 4.0345 4.9786 4.0345 Å, 90.00 90.00 90.00°
Element x y z (fractional)
1 N 0.0000 0.0000 0.5000
2 N 0.5000 0.0000 0.0000
3 In 0.0000 0.0000 0.0000
4 Rh 0.0000 0.5000 0.0000
5 Ta 0.5000 0.5000 0.5000

Output
* density: 8743 kg/m3
* spin magnetization: 0.00 μB per formula unit
* crystal system: tetragonal
* uncorrected formation energy: 1.8931 eV per atom
* total DFT energy (no corrections): -29.1 eV for the cell shown


Entry 4:
Computed, not measured: an optimized crystal structure of ThInRhN at the PBE-GGA level of DFT.

Cell: 4.2579 4.2579 8.6801 Å, 90.00 90.00 90.00°
Element x y z (fractional)
1 Th 0.0000 0.5000 0.8751
2 Th 0.5000 0.0000 0.1249
3 In 0.0000 0.0000 0.5000
4 In 0.5000 0.5000 0.5000
5 Rh 0.5000 0.0000 0.6915
6 Rh 0.0000 0.5000 0.3085
7 N 0.5000 0.5000 0.0000
8 N 0.0000 0.0000 0.0000

Output
* density: 9788 kg/m3
* spin magnetization: 0.00 μB per formula unit
* crystal system: tetragonal
* uncorrected formation energy: -0.8460 eV per atom
* total DFT energy (no corrections): -58.4 eV for the cell shown


Entry 5:
Computed, not measured: an optimized crystal structure of Tl2InRhN at the PBE-GGA level of DFT.

Cell: 5.6549 3.7389 5.6549 Å, 90.00 90.00 90.00°
Element x y z (fractional)
1 Tl 0.0000 0.0000 0.5000
2 Tl 0.5000 0.0000 0.0000
3 N 0.0000 0.0000 0.0000
4 Rh 0.0000 0.5000 0.0000
5 In 0.5000 0.5000 0.5000

Output
* density: 8895 kg/m3
* spin magnetization: 0.00 μB per formula unit
* crystal system: tetragonal
* uncorrected formation energy: 0.3716 eV per atom
* total DFT energy (no corrections): -21.3 eV for the cell shown


Entry 6:
Computed, not measured: an optimized crystal structure of InRuN3 at the PBE-GGA level of DFT.

Cell: 4.0599 4.0599 4.0599 Å, 90.00 90.00 90.00°
Element x y z (fractional)
1 Ru 0.5000 0.5000 0.5000
2 N 0.0000 0.5000 0.0000
3 N 0.0000 0.0000 0.5000
4 N 0.5000 0.0000 0.0000
5 In 0.0000 0.0000 0.0000

Output
* density: 6400 kg/m3
* spin magnetization: 0.00 μB per formula unit
* crystal system: cubic
* uncorrected formation energy: 2.5627 eV per atom
* total DFT energy (no corrections): -24.2 eV for the cell shown


Entry 7:
Computed, not measured: an optimized crystal structure of InRuN2 at the PBE-GGA level of DFT.

Cell: 6.8936 6.8936 6.8936 Å, 25.45 25.45 25.45°
Element x y z (fractional)
1 Ru 0.5000 0.5000 0.5000
2 N 0.8875 0.8875 0.8875
3 N 0.1125 0.1125 0.1125
4 In 0.0000 0.0000 0.0000

Output
* density: 7605 kg/m3
* spin magnetization: 0.00 μB per formula unit
* crystal system: trigonal
* uncorrected formation energy: 0.5497 eV per atom
* total DFT energy (no corrections): -26.5 eV for the cell shown


Entry 8:
Computed, not measured: an optimized crystal structure of In2RuN at the PBE-GGA level of DFT.

Cell: 6.7525 6.7525 5.5883 Å, 52.83 52.83 90.00°
Element x y z (fractional)
1 Ru 0.0000 0.0000 0.0000
2 Ru 0.7500 0.2500 0.5000
3 N 0.5000 0.5000 0.0000
4 N 0.2500 0.7500 0.5000
5 In 0.5624 0.1250 0.2500
6 In 0.1876 0.6250 0.2500
7 In 0.3750 0.4376 0.7500
8 In 0.8750 0.8124 0.7500

Output
* density: 8647 kg/m3
* spin magnetization: 0.00 μB per formula unit
* crystal system: tetragonal
* uncorrected formation energy: 0.6732 eV per atom
* total DFT energy (no corrections): -40.8 eV for the cell shown